Compound: YBPd2W
Source: Alexandria
Functional: PBE
Structure: optimized geometry Values from VASP.

```
&SYSTEM
  ibrav = 0, nat = 5, ntyp = 4
/
ATOMIC_SPECIES
Y 88.91 Y.upf
B 10.81 B.upf
Pd 106.42 Pd.upf
W 183.84 W.upf
CELL_PARAMETERS angstrom
4.7511 0.0000 0.0000
0.0000 5.4845 0.0000
0.0000 0.0000 4.7511
ATOMIC_POSITIONS angstrom
Y 0.0000 2.7423 0.0000
B 2.3756 2.7423 2.3756
Pd 0.0000 0.0000 2.3756
Pd 2.3756 0.0000 0.0000
W 0.0000 0.0000 0.0000
```

Output
calculated formation energy: 1.6706 eV/atom
crystal system: tetragonal



Compound: Y2BPdW
Source: Alexandria
Functional: PBE
Structure: optimized geometry Values from VASP.

```
&SYSTEM
  ibrav = 0, nat = 5, ntyp = 4
/
ATOMIC_SPECIES
Y 88.91 Y.upf
B 10.81 B.upf
Pd 106.42 Pd.upf
W 183.84 W.upf
CELL_PARAMETERS angstrom
5.3960 0.0000 0.0000
0.0000 3.9407 0.0000
0.0000 0.0000 5.3960
ATOMIC_POSITIONS angstrom
Y 0.0000 0.0000 2.6980
Y 2.6980 0.0000 0.0000
B 0.0000 1.9703 0.0000
Pd 0.0000 0.0000 0.0000
W 2.6980 1.9703 2.6980
```

Output
calculated formation energy: 0.8248 eV/atom
crystal system: tetragonal



Compound: YB2Pd
Source: Alexandria
Functional: PBE
Structure: optimized geometry Values from VASP.

```
&SYSTEM
  ibrav = 0, nat = 4, ntyp = 3
/
ATOMIC_SPECIES
Y 88.91 Y.upf
B 10.81 B.upf
Pd 106.42 Pd.upf
CELL_PARAMETERS angstrom
0.0000 2.9929 2.9929
2.9929 0.0000 2.9929
2.9929 2.9929 0.0000
ATOMIC_POSITIONS angstrom
Y 0.0000 0.0000 0.0000
B 1.4965 1.4965 1.4965
B 4.4894 4.4894 4.4894
Pd 2.9929 2.9929 2.9929
```

Output
calculated formation energy: 0.2743 eV/atom
ΔE to the lowest computed polymorph: 0.402 eV/atom
crystal system: cubic



Compound: YBPd
Source: Alexandria
Functional: PBE
Structure: optimized geometry Values from VASP.

```
&SYSTEM
  ibrav = 0, nat = 6, ntyp = 3
/
ATOMIC_SPECIES
B 10.81 B.upf
Pd 106.42 Pd.upf
Y 88.91 Y.upf
CELL_PARAMETERS angstrom
-1.2837 -2.1676 2.3284
-3.1623 -1.8308 -3.4479
5.5050 -2.1741 -1.5158
ATOMIC_POSITIONS angstrom
B 1.5351 -3.0118 0.5696
B -0.4761 -3.1608 -3.2050
Pd -2.1050 -3.1539 -1.5697
Pd 3.1639 -3.0186 -1.0657
Y 0.8290 -4.7851 -1.4705
Y 0.2299 -1.3875 -1.1649
```

Output
calculated formation energy: -0.4724 eV/atom
crystal system: monoclinic



Compound: YB2Pd7
Source: Alexandria
Functional: PBE
Structure: optimized geometry Values from VASP.

```
&SYSTEM
  ibrav = 0, nat = 10, ntyp = 3
/
ATOMIC_SPECIES
Y 88.91 Y.upf
B 10.81 B.upf
Pd 106.42 Pd.upf
CELL_PARAMETERS angstrom
4.2011 0.0000 0.0000
0.0000 6.4517 0.2168
0.0000 -2.6516 5.8856
ATOMIC_POSITIONS angstrom
Y 0.0000 0.0000 0.0000
B 2.1006 3.8066 1.8639
B 2.1006 -0.0065 4.2385
Pd 0.0000 3.5034 2.0527
Pd 0.0000 0.2967 4.0497
Pd 2.1006 -0.5041 1.9273
Pd 2.1006 4.3042 4.1751
Pd 2.1006 1.9520 0.3978
Pd 2.1006 1.8481 5.7046
Pd 2.1006 1.9000 3.0512
```

Output
calculated formation energy: -0.2809 eV/atom
ΔE to the lowest computed polymorph: 0.077 eV/atom
crystal system: orthorhombic



Compound: YB2Pd8
Source: Alexandria
Functional: PBE
Structure: optimized geometry Values from VASP.

```
&SYSTEM
  ibrav = 0, nat = 11, ntyp = 3
/
ATOMIC_SPECIES
Y 88.91 Y.upf
B 10.81 B.upf
Pd 106.42 Pd.upf
CELL_PARAMETERS angstrom
-4.0245 -1.2359 -0.4385
2.6697 -4.6094 -3.7079
0.6307 -1.5134 6.2797
ATOMIC_POSITIONS angstrom
Y -2.0122 -0.6180 -0.2192
B 1.3007 -2.5306 2.9980
B 1.9998 -3.5921 -0.4262
Pd -0.7563 -6.4875 0.3037
Pd -1.3136 -5.6413 3.0335
Pd 0.8360 -4.0782 1.4349
Pd 0.1172 -4.4070 -1.2808
Pd -0.8412 -2.9517 3.4140
Pd -1.5600 -3.2804 0.6984
Pd 0.5896 -1.7174 -0.9002
Pd 0.0323 -0.8712 1.8296
```

Output
calculated formation energy: -0.3486 eV/atom
crystal system: monoclinic